1.
DFT (PBE-GGA) results for Gd2Al19Co6 after structural relaxation.

```
Gd2Al19Co6
1.0
8.744 -6.012 0.000
8.744 6.012 0.000
-1.964 0.000 7.929
Al Co Gd
38 12 4
Cartesian
14.242 -1.390 0.269
14.242 1.390 0.269
6.043 -2.004 0.409
6.043 2.004 0.409
8.005 -3.930 1.088
8.005 3.930 1.088
1.133 0.000 1.159
9.405 -1.402 1.178
9.405 1.402 1.178
12.561 -3.014 2.060
12.561 3.014 2.060
15.333 0.000 2.513
7.145 -1.414 2.739
7.145 1.414 2.739
10.306 -2.089 3.528
10.306 2.089 3.528
1.984 -1.353 3.585
1.984 1.353 3.585
7.762 -3.984 3.964
7.762 3.984 3.964
13.540 -1.353 4.344
13.540 1.353 4.344
5.218 -2.089 4.401
5.218 2.089 4.401
8.378 -1.414 5.190
8.378 1.414 5.190
0.191 0.000 5.416
2.963 -3.014 5.868
2.963 3.014 5.868
6.119 -1.402 6.750
6.119 1.402 6.750
14.391 0.000 6.770
7.519 -3.930 6.840
7.519 3.930 6.840
9.480 -2.004 7.519
9.480 2.004 7.519
1.282 -1.390 7.660
1.282 1.390 7.660
7.474 0.000 0.750
10.427 -3.638 1.350
10.427 3.638 1.350
6.019 -3.620 2.468
6.019 3.620 2.468
9.037 0.000 3.220
6.486 0.000 4.708
9.505 -3.621 5.461
9.505 3.621 5.461
5.097 -3.638 6.579
5.097 3.638 6.579
8.050 0.000 7.179
12.127 0.000 1.937
4.368 0.000 2.163
11.155 0.000 5.766
3.396 0.000 5.992
```

Total moment = 0.01 Bohr magnetons per cell
Space-group type = C2/m (12)
Electronic total energy = -272.9 eV per cell

---

2.
DFT (PBE-GGA) results for GdHoAl4Co2 after structural relaxation.

```
GdHoAl4Co2
1.0
-4.180 2.090 -5.251
-3.805 -3.399 1.676
-4.148 0.250 3.402
Al Co Gd Ho
4 2 1 1
Cartesian
-2.084 -0.092 -0.219
-4.629 1.180 -3.416
-7.971 -2.004 2.655
-9.582 -1.199 0.631
-4.359 0.147 -1.177
-5.684 -2.250 3.629
-3.495 -1.384 2.232
-6.551 -0.721 0.223
```

Total moment = 0.01 Bohr magnetons per cell
Space-group type = Amm2 (38)
Electronic total energy = -42.7 eV per cell

---

3.
DFT (PBE-GGA) results for Gd2AlCoIr after structural relaxation.

```
Gd2AlCoIr
1.0
-2.037 4.284 2.832
2.037 -4.284 2.832
2.037 4.284 -2.832
Al Co Gd Ir
1 1 2 1
Cartesian
0.000 0.000 5.609
0.000 4.284 1.356
0.000 1.715 2.836
2.037 2.569 0.004
2.037 0.000 1.524
```

Total moment = 0.01 Bohr magnetons per cell
Space-group type = Imm2 (44)
Electronic total energy = -32.2 eV per cell

---

4.
DFT (PBE-GGA) results for NdGdAl4Co2 after structural relaxation.

```
NdGdAl4Co2
1.0
-1.413 3.489 5.947
-3.666 -3.877 1.403
0.053 -4.753 2.801
Al Co Gd Nd
4 2 1 1
Cartesian
-0.869 -0.765 1.832
-1.742 1.393 5.509
-3.445 -6.140 5.318
-3.998 -4.774 7.646
-1.733 -0.707 4.168
-2.587 -6.178 3.010
-1.602 -3.825 1.864
-2.717 -3.056 5.312
```

Total moment = 0.01 Bohr magnetons per cell
Space-group type = Amm2 (38)
Electronic total energy = -42.6 eV per cell

---

5.
DFT (PBE-GGA) results for Gd2AlCoNi after structural relaxation.

```
Gd2AlCoNi
1.0
-2.058 4.216 2.740
2.058 -4.216 2.740
2.058 4.216 -2.740
Al Co Gd Ni
1 1 2 1
Cartesian
0.000 0.000 0.027
2.058 0.000 1.474
0.000 1.701 2.719
2.058 2.514 -0.021
0.000 4.216 1.282
```

Total moment = 0.03 Bohr magnetons per cell
Space-group type = Imm2 (44)
Electronic total energy = -27.9 eV per cell

---

6.
DFT (PBE-GGA) results for PrGdAl2Co4 after structural relaxation.

```
PrGdAl2Co4
1.0
4.155 0.000 0.000
-2.077 3.598 0.000
0.000 0.000 9.456
Al Co Gd Pr
2 4 1 1
Cartesian
0.000 0.000 2.298
0.000 0.000 7.158
2.077 1.199 1.947
0.000 2.399 2.637
0.000 2.399 6.819
2.077 1.199 7.509
0.000 2.399 0.000
2.077 1.199 4.728
```

Total moment = 1.85 Bohr magnetons per cell
Space-group type = P-6m2 (187)
Electronic total energy = -47.4 eV per cell

---

7.
DFT (PBE-GGA) results for Gd3AlCoS7 after structural relaxation.

```
Gd3AlCoS7
1.0
-6.503 -2.525 6.517
4.688 -6.709 -4.914
4.403 -0.110 4.350
Al Co Gd S
2 2 6 14
Cartesian
-2.119 -3.936 3.352
3.812 -5.386 1.717
0.300 -0.008 0.297
2.502 -0.063 2.472
1.696 -2.955 0.193
3.532 -6.183 -1.747
0.620 -6.880 1.183
0.674 -6.384 5.545
-1.162 -3.156 7.485
1.750 -2.459 4.555
-3.883 -5.249 3.806
-3.003 -1.903 2.999
-1.419 -4.608 1.328
0.999 -5.315 -1.063
0.552 -1.429 2.240
-0.801 -7.529 3.454
-3.818 -2.908 6.625
4.278 -4.041 -0.019
3.398 -7.386 0.787
1.814 -4.681 2.459
-0.530 -3.976 4.923
4.021 -1.831 3.123
2.668 -7.931 4.338
7.038 -6.452 -0.048
```

Total moment = 2.01 Bohr magnetons per cell
Space-group type = P6_3 (173)
Electronic total energy = -144.9 eV per cell

---

8.
DFT (PBE-GGA) results for GdTmAl4Co2 after structural relaxation.

```
GdTmAl4Co2
1.0
-4.145 -5.311 -1.950
4.108 -3.378 0.466
2.023 -3.016 3.913
Al Co Gd Tm
4 2 1 1
Cartesian
0.157 -2.060 0.311
-2.356 -5.280 -0.871
3.881 -7.013 3.082
2.288 -9.053 2.333
-0.326 -4.477 0.272
4.384 -4.571 3.131
2.695 -2.810 1.925
1.366 -6.242 1.481
```

Total moment = 0.01 Bohr magnetons per cell
Space-group type = Amm2 (38)
Electronic total energy = -42.6 eV per cell